Below is an optimized crystal structure of Nd8Cu2Tc, with properties calculated at the PBE level.

Unit cell a=8.0000 b=8.0000 c=5.9686 alpha=101.32 beta=101.32 gamma=116.10
Element x y z (fractional)
Nd (0.0000, 0.0000, 0.0000)
Nd (0.0254, 0.2685, 0.5681)
Nd (0.1498, 0.5626, 0.1757)
Nd (0.2685, 0.0254, 0.5681)
Nd (0.4497, 0.6896, 0.7706)
Nd (0.5626, 0.1498, 0.1757)
Nd (0.6896, 0.4497, 0.7706)
Nd (0.7274, 0.7274, 0.3638)
Cu (0.0606, 0.6643, 0.6790)
Cu (0.6643, 0.0606, 0.6790)
Tc (0.3695, 0.3695, 0.2549)

Values from the calculation:
ΔE to the lowest computed polymorph = 0.81 eV/f.u.
total DFT energy (no corrections) = -55.93 eV for the cell shown
DOS(E_F) = 13.22 states/eV/f.u.